[1]
Material: AcIn4Hg3
Method: DFT, PBE
State: optimized geometry

Cell and atoms, written as CIF:
```
data_AcIn4Hg3
_space_group_name_H-M_alt 'P 1'
_space_group_IT_number 1
_space_group_name_Hall 'P 1'
_cell_length_a 4.973
_cell_length_b 4.973
_cell_length_c 9.076
_cell_angle_alpha 90.00
_cell_angle_beta 90.00
_cell_angle_gamma 90.00
loop_
_atom_site_label
_atom_site_type_symbol
_atom_site_fract_x
_atom_site_fract_y
_atom_site_fract_z
Ac1 Ac 0.000 0.000 0.500
Hg1 Hg 0.000 0.000 0.000
Hg2 Hg 0.500 0.500 0.349
Hg3 Hg 0.500 0.500 0.651
In1 In 0.500 0.000 0.180
In2 In 0.000 0.500 0.180
In3 In 0.500 0.000 0.820
In4 In 0.000 0.500 0.820
```

Summary:
Space group: No. 123

=====

[2]
Material: Ac2In6Hg
Method: DFT, PBE
State: optimized geometry

Cell and atoms, written as CIF:
```
data_Ac2In6Hg
_space_group_name_H-M_alt 'P 1'
_space_group_IT_number 1
_space_group_name_Hall 'P 1'
_cell_length_a 6.475
_cell_length_b 6.785
_cell_length_c 6.782
_cell_angle_alpha 120.01
_cell_angle_beta 89.98
_cell_angle_gamma 90.00
loop_
_atom_site_label
_atom_site_type_symbol
_atom_site_fract_x
_atom_site_fract_y
_atom_site_fract_z
Ac1 Ac 0.150 0.667 0.333
Ac2 Ac 0.850 0.333 0.667
In1 In 0.671 0.822 0.178
In2 In 0.671 0.822 0.643
In3 In 0.671 0.357 0.178
In4 In 0.329 0.178 0.822
In5 In 0.329 0.178 0.357
In6 In 0.329 0.643 0.822
Hg1 Hg 0.000 0.000 0.000
```

Summary:
Space group: No. 164

=====

[3]
Material: AcIn3Hg3
Method: DFT, PBE
State: optimized geometry

Cell and atoms, written as CIF:
```
data_AcIn3Hg3
_space_group_name_H-M_alt 'P 1'
_space_group_IT_number 1
_space_group_name_Hall 'P 1'
_cell_length_a 9.226
_cell_length_b 9.245
_cell_length_c 9.916
_cell_angle_alpha 74.42
_cell_angle_beta 74.40
_cell_angle_gamma 79.80
loop_
_atom_site_label
_atom_site_type_symbol
_atom_site_fract_x
_atom_site_fract_y
_atom_site_fract_z
Ac1 Ac 0.074 0.585 0.962
Ac2 Ac 0.902 0.933 0.528
Ac3 Ac 0.425 0.509 0.471
Ac4 Ac 0.573 0.925 0.064
In1 In 0.855 0.321 0.382
In2 In 0.943 0.985 0.863
In3 In 0.869 0.698 0.275
In4 In 0.179 0.793 0.269
In5 In 0.129 0.187 0.123
In6 In 0.246 0.844 0.653
In7 In 0.121 0.220 0.599
In8 In 0.314 0.248 0.810
In9 In 0.692 0.229 0.722
In10 In 0.730 0.676 0.836
In11 In 0.566 0.179 0.362
In12 In 0.405 0.606 0.084
Hg1 Hg 0.702 0.523 0.155
Hg2 Hg 0.851 0.044 0.172
Hg3 Hg 0.060 0.567 0.621
Hg4 Hg 0.168 0.426 0.299
Hg5 Hg 0.285 0.046 0.356
Hg6 Hg 0.244 0.917 0.944
Hg7 Hg 0.879 0.328 0.909
Hg8 Hg 0.443 0.561 0.789
Hg9 Hg 0.504 0.286 0.049
Hg10 Hg 0.529 0.974 0.693
Hg11 Hg 0.749 0.554 0.581
Hg12 Hg 0.566 0.836 0.427
```

Summary:
Space group: No. 1
Distance to the lowest polymorph of the same formula: 0.000 eV/atom

=====

[4]
Material: AcIn2Hg3
Method: DFT, PBE
State: optimized geometry

Cell and atoms, written as CIF:
```
data_AcIn2Hg3
_space_group_name_H-M_alt 'P 1'
_space_group_IT_number 1
_space_group_name_Hall 'P 1'
_cell_length_a 5.153
_cell_length_b 8.235
_cell_length_c 9.292
_cell_angle_alpha 116.29
_cell_angle_beta 106.10
_cell_angle_gamma 90.00
loop_
_atom_site_label
_atom_site_type_symbol
_atom_site_fract_x
_atom_site_fract_y
_atom_site_fract_z
Ac1 Ac 0.139 0.138 0.278
Ac2 Ac 0.861 0.862 0.722
In1 In 0.500 0.175 0.000
In2 In 0.500 0.825 0.000
In3 In 0.177 0.678 0.355
In4 In 0.823 0.322 0.645
Hg1 Hg 0.678 0.462 0.356
Hg2 Hg 0.000 0.328 0.001
Hg3 Hg 0.323 0.107 0.645
Hg4 Hg 0.677 0.893 0.355
Hg5 Hg 0.000 0.672 0.999
Hg6 Hg 0.322 0.538 0.644
```

Summary:
Space group: No. 12
Distance to the lowest polymorph of the same formula: 0.000 eV/atom

=====

[5]
Material: AcIn12Hg4
Method: DFT, PBE
State: optimized geometry

Cell and atoms, written as CIF:
```
data_AcIn12Hg4
_space_group_name_H-M_alt 'P 1'
_space_group_IT_number 1
_space_group_name_Hall 'P 1'
_cell_length_a 8.669
_cell_length_b 8.669
_cell_length_c 8.669
_cell_angle_alpha 109.47
_cell_angle_beta 109.47
_cell_angle_gamma 109.47
loop_
_atom_site_label
_atom_site_type_symbol
_atom_site_fract_x
_atom_site_fract_y
_atom_site_fract_z
Ac1 Ac 0.000 0.000 0.000
In1 In 0.850 0.353 0.203
In2 In 0.353 0.502 0.150
In3 In 0.797 0.150 0.647
In4 In 0.353 0.203 0.850
In5 In 0.203 0.850 0.353
In6 In 0.647 0.498 0.850
In7 In 0.502 0.150 0.353
In8 In 0.498 0.850 0.647
In9 In 0.647 0.797 0.150
In10 In 0.850 0.647 0.498
In11 In 0.150 0.353 0.502
In12 In 0.150 0.647 0.797
Hg1 Hg 0.000 0.500 0.000
Hg2 Hg 0.500 0.000 0.000
Hg3 Hg 0.500 0.500 0.500
Hg4 Hg 0.000 0.000 0.500
```

Summary:
Space group: No. 204

=====

[6]
Material: AcIn6Hg12
Method: DFT, PBE
State: optimized geometry

Cell and atoms, written as CIF:
```
data_AcIn6Hg12
_space_group_name_H-M_alt 'P 1'
_space_group_IT_number 1
_space_group_name_Hall 'P 1'
_cell_length_a 8.578
_cell_length_b 8.578
_cell_length_c 8.578
_cell_angle_alpha 106.16
_cell_angle_beta 106.16
_cell_angle_gamma 106.16
loop_
_atom_site_label
_atom_site_type_symbol
_atom_site_fract_x
_atom_site_fract_y
_atom_site_fract_z
Ac1 Ac 0.000 0.000 0.000
In1 In 0.718 0.302 0.302
In2 In 0.302 0.302 0.718
In3 In 0.302 0.718 0.302
In4 In 0.698 0.698 0.282
In5 In 0.282 0.698 0.698
In6 In 0.698 0.282 0.698
Hg1 Hg 0.891 0.109 0.500
Hg2 Hg 0.875 0.636 0.636
Hg3 Hg 0.636 0.636 0.875
Hg4 Hg 0.364 0.125 0.364
Hg5 Hg 0.364 0.364 0.125
Hg6 Hg 0.125 0.364 0.364
Hg7 Hg 0.109 0.500 0.891
Hg8 Hg 0.500 0.891 0.109
Hg9 Hg 0.109 0.891 0.500
Hg10 Hg 0.891 0.500 0.109
Hg11 Hg 0.500 0.109 0.891
Hg12 Hg 0.636 0.875 0.636
```

Summary:
Space group: No. 166
Distance to the lowest polymorph of the same formula: 0.065 eV/atom

=====

[7]
Material: Ac5InHg2
Method: DFT, PBE
State: optimized geometry

Cell and atoms, written as CIF:
```
data_Ac5InHg2
_space_group_name_H-M_alt 'P 1'
_space_group_IT_number 1
_space_group_name_Hall 'P 1'
_cell_length_a 9.140
_cell_length_b 9.140
_cell_length_c 9.575
_cell_angle_alpha 118.51
_cell_angle_beta 118.51
_cell_angle_gamma 90.00
loop_
_atom_site_label
_atom_site_type_symbol
_atom_site_fract_x
_atom_site_fract_y
_atom_site_fract_z
Ac1 Ac 0.508 0.696 0.704
Ac2 Ac 0.804 0.992 0.296
Ac3 Ac 0.000 0.000 0.000
Ac4 Ac 0.500 0.500 0.000
Ac5 Ac 0.196 0.008 0.704
Ac6 Ac 0.696 0.196 0.704
Ac7 Ac 0.008 0.508 0.704
Ac8 Ac 0.304 0.804 0.296
Ac9 Ac 0.992 0.492 0.296
Ac10 Ac 0.492 0.304 0.296
In1 In 0.750 0.750 0.500
In2 In 0.250 0.250 0.500
Hg1 Hg 0.138 0.362 0.000
Hg2 Hg 0.638 0.138 0.000
Hg3 Hg 0.362 0.862 0.000
Hg4 Hg 0.862 0.638 0.000
```

Summary:
Space group: No. 140

=====

[8]
Material: AcIn6Hg2
Method: DFT, PBE
State: optimized geometry

Cell and atoms, written as CIF:
```
data_AcIn6Hg2
_space_group_name_H-M_alt 'P 1'
_space_group_IT_number 1
_space_group_name_Hall 'P 1'
_cell_length_a 3.627
_cell_length_b 9.000
_cell_length_c 9.000
_cell_angle_alpha 63.20
_cell_angle_beta 78.72
_cell_angle_gamma 78.72
loop_
_atom_site_label
_atom_site_type_symbol
_atom_site_fract_x
_atom_site_fract_y
_atom_site_fract_z
Ac1 Ac 0.000 0.000 0.000
In1 In 0.317 0.017 0.353
In2 In 0.683 0.983 0.647
In3 In 0.683 0.647 0.983
In4 In 0.500 0.330 0.670
In5 In 0.500 0.670 0.330
In6 In 0.317 0.353 0.017
Hg1 Hg 0.134 0.361 0.361
Hg2 Hg 0.866 0.639 0.639
```

Summary:
Space group: No. 12
Distance to the lowest polymorph of the same formula: 0.038 eV/atom

=====

[9]
Material: Ac4In3Hg
Method: DFT, PBE
State: optimized geometry

Cell and atoms, written as CIF:
```
data_Ac4In3Hg
_space_group_name_H-M_alt 'P 1'
_space_group_IT_number 1
_space_group_name_Hall 'P 1'
_cell_length_a 5.768
_cell_length_b 5.768
_cell_length_c 9.234
_cell_angle_alpha 108.15
_cell_angle_beta 108.20
_cell_angle_gamma 90.00
loop_
_atom_site_label
_atom_site_type_symbol
_atom_site_fract_x
_atom_site_fract_y
_atom_site_fract_z
Ac1 Ac 0.376 0.376 0.751
Ac2 Ac 0.624 0.624 0.249
Ac3 Ac 0.124 0.124 0.249
Ac4 Ac 0.876 0.876 0.751
Hg1 Hg 0.500 0.000 0.000
In1 In 0.000 0.500 0.000
In2 In 0.749 0.249 0.498
In3 In 0.251 0.751 0.502
```

Summary:
Space group: No. 12

=====

[10]
Material: AcIn2Hg4
Method: DFT, PBE
State: optimized geometry

Cell and atoms, written as CIF:
```
data_AcIn2Hg4
_space_group_name_H-M_alt 'P 1'
_space_group_IT_number 1
_space_group_name_Hall 'P 1'
_cell_length_a 6.558
_cell_length_b 5.798
_cell_length_c 6.558
_cell_angle_alpha 117.24
_cell_angle_beta 112.45
_cell_angle_gamma 62.76
loop_
_atom_site_label
_atom_site_type_symbol
_atom_site_fract_x
_atom_site_fract_y
_atom_site_fract_z
Ac1 Ac 0.000 0.000 0.000
In1 In 0.586 0.701 0.414
In2 In 0.414 0.299 0.586
Hg1 Hg 0.621 0.704 0.958
Hg2 Hg 0.379 0.296 0.042
Hg3 Hg 0.958 0.296 0.621
Hg4 Hg 0.042 0.704 0.379
```

Summary:
Space group: No. 12
Distance to the lowest polymorph of the same formula: 0.039 eV/atom

=====

[11]
Material: AcIn5Hg6
Method: DFT, PBE
State: optimized geometry

Cell and atoms, written as CIF:
```
data_AcIn5Hg6
_space_group_name_H-M_alt 'P 1'
_space_group_IT_number 1
_space_group_name_Hall 'P 1'
_cell_length_a 4.871
_cell_length_b 9.235
_cell_length_c 7.600
_cell_angle_alpha 89.94
_cell_angle_beta 71.11
_cell_angle_gamma 89.90
loop_
_atom_site_label
_atom_site_type_symbol
_atom_site_fract_x
_atom_site_fract_y
_atom_site_fract_z
Ac1 Ac 0.000 0.000 0.000
Hg1 Hg 0.830 0.738 0.340
Hg2 Hg 0.830 0.262 0.339
Hg3 Hg 0.499 0.263 0.001
Hg4 Hg 0.501 0.737 0.999
Hg5 Hg 0.170 0.738 0.661
Hg6 Hg 0.170 0.262 0.660
In1 In 0.668 0.499 0.666
In2 In 0.320 0.999 0.362
In3 In 0.000 0.500 0.000
In4 In 0.680 0.001 0.638
In5 In 0.332 0.501 0.334
```

Summary:
Space group: No. 2

=====

[12]
Material: AcInHg4
Method: DFT, PBE
State: optimized geometry

Cell and atoms, written as CIF:
```
data_AcInHg4
_space_group_name_H-M_alt 'P 1'
_space_group_IT_number 1
_space_group_name_Hall 'P 1'
_cell_length_a 5.126
_cell_length_b 5.187
_cell_length_c 6.712
_cell_angle_alpha 90.01
_cell_angle_beta 67.62
_cell_angle_gamma 90.00
loop_
_atom_site_label
_atom_site_type_symbol
_atom_site_fract_x
_atom_site_fract_y
_atom_site_fract_z
Ac1 Ac 0.000 0.500 0.500
In1 In 0.500 0.000 0.500
Hg1 Hg 0.322 0.500 0.857
Hg2 Hg 0.678 0.500 0.143
Hg3 Hg 0.173 0.000 0.154
Hg4 Hg 0.827 0.000 0.846
```

Summary:
Space group: No. 10
Distance to the lowest polymorph of the same formula: 0.002 eV/atom

=====

Calculated total energy for every record listed, in sequence, given in eV per cell: -17.40; -28.14; -58.94; -24.43; -37.70; -24.56; -53.13; -22.04; -28.36; -12.28; -21.29; -9.74.
DFT formation energy for every record listed, in sequence, given in meV per atom: -179.6; -354.4; -215.1; -287.8; 27.8; -21.1; -335.1; -100.1; -425.8; -211.8; -139.6; -281.8.